No. 1
DFT (PBEsol) results for a relaxed structure of CuSiGe2Ru.

As for the total energy: -4.872 eV/atom.

The structure belongs to space group P4/mmm (No. 123); the cell edges are 4.6348, 4.6348 and 4.1789 Å and the angles 90.00°, 90.00° and 90.00°. The inequivalent atoms are Cu at (0.0000, 0.0000, 0.0000), Si at (0.0000, 0.0000, 0.5000), Ge at (0.0000, 0.5000, 0.5000) and Ru at (0.5000, 0.5000, 0.0000).

---

No. 2
DFT (PBEsol) results for a relaxed structure of Sm3CuGeS7.

As for the total energy: -6.118 eV/atom.

The structure belongs to space group P6_3 (No. 173); the cell edges are 9.9426, 9.9426 and 5.7166 Å and the angles 90.00°, 90.00° and 120.00°. The inequivalent atoms are Sm at (0.1289, 0.7723, 0.0000), Cu at (0.0000, 0.0000, 0.4718), Ge at (0.3333, 0.6667, 0.5814), S at (0.0932, 0.8375, 0.4831), S at (0.0994, 0.5184, 0.7394) and S at (0.3333, 0.6667, 0.1999).

---

No. 3
DFT (PBEsol) results for a relaxed structure of Cu6GeWS8.

As for the total energy: -5.399 eV/atom.

The structure belongs to space group P6_3mc (No. 186); the cell edges are 7.4426, 7.4426 and 12.2341 Å and the angles 90.00°, 90.00° and 120.00°. The inequivalent atoms are Cu at (0.0063, 0.5032, 0.0000), Cu at (0.1617, 0.3233, 0.2485), Ge at (0.0000, 0.0000, 0.0012), W at (0.3333, 0.6667, 0.3726), S at (0.0000, 0.0000, 0.3174), S at (0.0030, 0.5015, 0.3120), S at (0.1658, 0.3316, 0.0639) and S at (0.3333, 0.6667, 0.5568).

---

No. 4
DFT (PBEsol) results for a relaxed structure of TaCuGe2Sb.

As for the total energy: -5.396 eV/atom.

The structure belongs to space group P4/mmm (No. 123); the cell edges are 4.9178, 4.9178 and 4.8192 Å and the angles 90.00°, 90.00° and 90.00°. The inequivalent atoms are Ta at (0.0000, 0.0000, 0.0000), Cu at (0.0000, 0.0000, 0.5000), Ge at (0.0000, 0.5000, 0.0000) and Sb at (0.5000, 0.5000, 0.5000).

---

Computed energy relative to the elements, uncorrected (eV/atom) in order:
1.1547; -1.5145; -0.4097; 0.8676